A plane-wave DFT calculation with PBE-GGA was carried out for Be2Bi2B after structural relaxation.

Calculated values
total magnetization = 0.00 μB per formula unit
mass density = 7.6 Mg/m³
formation enthalpy at 0 K = 26.70 kcal/mol of atoms

Unit cell a=7.240 b=7.240 c=3.746 alpha=90.00 beta=90.00 gamma=90.00
Atoms (fractional coordinates):
Be (0.103, 0.397, 0.000)
Be (0.397, 0.897, 0.000)
Be (0.603, 0.103, 0.000)
Be (0.897, 0.603, 0.000)
Bi (0.202, 0.702, 0.500)
Bi (0.298, 0.202, 0.500)
Bi (0.702, 0.798, 0.500)
Bi (0.798, 0.298, 0.500)
B (0.000, 0.000, 0.500)
B (0.500, 0.500, 0.500)